The following is a PBE calculation of a relaxed structure of NdEuCu, from the Alexandria database.

Structure (POSCAR):
```
NdEuCu
1.0
3.862 0.000 0.000
-1.931 3.345 0.000
0.000 0.000 7.216
Nd Eu Cu
1 1 1
Direct
0.000 0.000 0.000
0.333 0.667 0.458
0.667 0.333 0.742
```

Mass density: 6.41 g/cm3
Magnetization: 2.52 μB/atom
Energy of formation: 0.28 eV per formula unit
Symmetry: No. 156
Energy above the lowest structure with this stoichiometry: 148 meV per atom
Total energy: -18.86 eV for the cell shown

The following is a PBE calculation of a relaxed structure of CuSn2OsSe, from the Alexandria database.

Structure (POSCAR):
```
CuSn2OsSe
1.0
4.963 0.000 0.000
0.000 4.963 0.000
0.000 0.000 4.754
Cu Sn Os Se
1 2 1 1
Direct
0.000 0.000 0.000
0.000 0.500 0.000
0.500 0.000 0.000
0.000 0.000 0.500
0.500 0.500 0.500
```

Mass density: 8.09 g/cm3
Magnetization: 0.31 μB/atom
Symmetry: No. 123
Formation energy without anion corrections: 1.05 eV/atom
Total energy: -21.58 eV for the cell shown